GGA-PBE TiAg3Mo, relaxed; E = -3.74 eV/atom; DOS at the Fermi energy = 8.44 states/eV per cell; calculated formation energy = 8.568 eV/f.u.; SG = Pm-3m, No. 221
1.0
4.9590 0.0000 0.0000
0.0000 4.9590 0.0000
0.0000 0.0000 4.9590
Ti Ag Mo
1 3 1
Direct
0.0000 0.0000 0.0000 Ti
0.0000 0.5000 0.5000 Ag
0.5000 0.0000 0.5000 Ag
0.5000 0.5000 0.0000 Ag
0.5000 0.5000 0.5000 Mo